Entry 1:
Tb2Sm3DyY6 | PBE | relaxed

Cell and atoms, written as CIF:
```
data_Tb2Sm3DyY6
_chemical_formula_sum 'Tb4 Sm6 Dy2 Y12'
_symmetry_space_group_name_H-M 'C 1 2/m 1'
_symmetry_Int_Tables_number 12
_symmetry_space_group_name_Hall '-C 2y'
_cell_length_a 6.2088
_cell_length_b 10.7455
_cell_length_c 11.8396
_cell_angle_alpha 90.00
_cell_angle_beta 100.01
_cell_angle_gamma 90.00
loop_
_atom_site_label
_atom_site_fract_x
_atom_site_fract_y
_atom_site_fract_z
_atom_site_occupancy
Tb1 0.0000 0.1666 0.0000 1
Sm1 0.0000 0.0000 0.5000 1
Sm2 0.0000 0.3333 0.5000 1
Dy1 0.0000 0.5000 0.0000 1
Y1 0.2497 0.0000 0.2483 1
Y2 0.2504 0.1666 0.7518 1
```

Summary:
The total magnetic moment comes out at 0.00 μB/f.u. The calculated formation energy comes out at 17 meV/atom. For the density of states at the Fermi level, the calculation gives 32.99 states/eV per cell. As for the mass density: 6.25 g/cm³.


Entry 2:
Tc3As4 | PBE | relaxed

Cell and atoms, written as CIF:
```
data_Tc3As4
_chemical_formula_sum 'Tc6 As8'
_symmetry_space_group_name_H-M 'C 1 2/m 1'
_symmetry_Int_Tables_number 12
_symmetry_space_group_name_Hall '-C 2y'
_cell_length_a 13.0214
_cell_length_b 3.1810
_cell_length_c 6.4560
_cell_angle_alpha 90.00
_cell_angle_beta 113.12
_cell_angle_gamma 90.00
loop_
_atom_site_label
_atom_site_fract_x
_atom_site_fract_y
_atom_site_fract_z
_atom_site_occupancy
Tc1 0.0000 0.0000 0.0000 1
Tc2 0.2462 0.5000 0.6931 1
As1 0.0994 0.5000 0.3173 1
As2 0.1550 0.0000 0.8680 1
```

Summary:
The total magnetic moment comes out at 0.00 μB/f.u. The calculated formation energy comes out at -265 meV/atom. For the density of states at the Fermi level, the calculation gives 5.34 states/eV per cell. As for the mass density: 8.02 g/cm³.


Entry 3:
CsHf3Sn | PBE | relaxed

Cell and atoms, written as CIF:
```
data_CsHf3Sn
_chemical_formula_sum 'Cs1 Hf3 Sn1'
_symmetry_space_group_name_H-M 'P m -3 m'
_symmetry_Int_Tables_number 221
_symmetry_space_group_name_Hall '-P 4 2 3'
_cell_length_a 5.5001
_cell_length_b 5.5001
_cell_length_c 5.5001
_cell_angle_alpha 90.00
_cell_angle_beta 90.00
_cell_angle_gamma 90.00
loop_
_atom_site_label
_atom_site_fract_x
_atom_site_fract_y
_atom_site_fract_z
_atom_site_occupancy
Cs1 0.0000 0.0000 0.0000 1
Hf1 0.0000 0.5000 0.5000 1
Sn1 0.5000 0.5000 0.5000 1
```

Summary:
The total magnetic moment comes out at 1.14 μB/f.u. The calculated formation energy comes out at 1360 meV/atom. For the density of states at the Fermi level, the calculation gives 10.10 states/eV per cell. As for the polymorph energy (0 for the lowest one): 0.0 meV/atom. As for the mass density: 7.86 g/cm³.


Q: Look up the calculated formation energy of the third one.
A: 1360 meV/atom


Q: Which value of mass density does entry 3 give?
A: 7.86 g/cm³


Q: Look up the calculated formation energy of the first one.
A: 17 meV/atom